DFT (GGA-PBE) results for an optimized crystal structure of HoCd9Pd2.

abc: 11.7036 11.7036 7.5103
angles: 90.00 90.00 90.00
Closest atoms and distances in Å follow each position.
Space group I4_1/amd (No. 141, origin choice 2)
Inequivalent atoms, fractional coordinates:
Ho: 0.0000 0.2500 0.3750 [4 per cell]  18 Cd 3.52-3.83
Cd: 0.0000 0.2500 0.8750 [4 per cell]  4 Pd 3.07, 8 Cd 3.09
Cd: 0.1203 0.0527 0.6759 [32 per cell]  6 Cd 2.82-3.11, 2 Pd 2.82-2.88
Pd: 0.0000 0.0000 0.0000 [8 per cell]  10 Cd 2.82-3.07

Output
Energy in eV per atom: -2.131
Calculated formation energy in eV per atom: -0.1974



DFT (GGA-PBE) results for an optimized crystal structure of LaInRhCl2.

abc: 5.0137 5.0137 5.2741
angles: 90.00 90.00 90.00
Closest atoms and distances in Å follow each position.
Space group P4/mmm (No. 123)
Inequivalent atoms, fractional coordinates:
La: 0.0000 0.0000 0.0000 [1 per cell]  4 Rh 3.55, 8 Cl 3.64
In: 0.5000 0.5000 0.5000 [1 per cell]  4 Cl 2.51, 2 Rh 2.64
Rh: 0.5000 0.5000 0.0000 [1 per cell]  2 In 2.64
Cl: 0.0000 0.5000 0.5000 [2 per cell]  2 In 2.51

Output
E_form (uncorrected) in kJ per mole of atoms: -31.8
Energy in eV per atom: -4.072



DFT (GGA-PBE) results for an optimized crystal structure of Li2TmPuSe4.

abc: 6.8866 4.0793 7.0692
angles: 90.00 110.20 90.00
Closest atoms and distances in Å follow each position.
Space group P2/m (No. 10)
Inequivalent atoms, fractional coordinates:
Li: 0.0000 0.0000 0.0000 [1 per cell]  6 Se 2.86-2.89
Li: 0.0000 0.5000 0.5000 [1 per cell]  6 Se 2.82-2.83
Tm: 0.5000 0.0000 0.5000 [1 per cell]  6 Se 2.84-2.85
Pu: 0.5000 0.5000 0.0000 [1 per cell]  6 Se 2.88-2.91
Se: 0.2470 0.0000 0.7431 [2 per cell]  3 Li 2.83-2.89, 1 Tm 2.84, 2 Pu 2.88
Se: 0.2471 0.5000 0.2551 [2 per cell]  3 Li 2.82-2.86, 2 Tm 2.85, 1 Pu 2.91

Output
E_form (uncorrected) in kJ per mole of atoms: -147.6
Energy in eV per atom: -6.101



DFT (GGA-PBE) results for an optimized crystal structure of Li2W3.

abc: 2.7353 2.7353 37.4474
angles: 90.00 90.00 120.00
Closest atoms and distances in Å follow each position.
Space group R-3m (No. 166, hexagonal axes)
Inequivalent atoms, fractional coordinates:
Li: 0.0000 0.0000 0.0997 [6 per cell]  6 Li 2.74, 6 W 2.96
W: 0.0000 0.0000 0.3006 [6 per cell]  9 W 2.74-2.92, 3 Li 2.96
W: 0.0000 0.0000 0.5000 [3 per cell]  6 W 2.74, 6 Li 2.96

Output
Energy above the most stable polymorph in this dataset in eV/atom: 0.0000
Energy in eV per atom: -8.021
Calculated formation energy in eV per atom: 0.5167



DFT (GGA-PBE) results for an optimized crystal structure of Be5Pt4Au.

abc: 2.8093 2.8093 15.1035
angles: 90.00 90.00 90.00
Closest atoms and distances in Å follow each position.
Space group P4/mmm (No. 123)
Inequivalent atoms, fractional coordinates:
Be: 0.0000 0.0000 0.0000 [1 per cell]  8 Pt 2.47
Be: 0.0000 0.0000 0.1954 [2 per cell]  8 Pt 2.48
Be: 0.0000 0.0000 0.3875 [2 per cell]  4 Pt 2.44, 4 Au 2.61
Pt: 0.5000 0.5000 0.0973 [2 per cell]  8 Be 2.47-2.48
Pt: 0.5000 0.5000 0.2933 [2 per cell]  8 Be 2.44-2.48
Au: 0.5000 0.5000 0.5000 [1 per cell]  8 Be 2.61, 4 Au 2.81

Output
Energy in eV per atom: -5.235
Calculated formation energy in eV per atom: -0.6278



DFT (GGA-PBE) results for an optimized crystal structure of K4Rb3Bi4.

abc: 6.2649 8.5160 20.1574
angles: 90.00 90.00 90.00
Closest atoms and distances in Å follow each position.
Space group Immm (No. 71)
Inequivalent atoms, fractional coordinates:
K: 0.0000 0.2200 0.1785 [8 per cell]  4 Bi 3.61-3.72, 1 K 3.75
Rb: 0.0000 0.0000 0.3882 [4 per cell]  6 Bi 4.12-4.52, 4 K 4.16, 1 Rb 4.51
Rb: 0.0000 0.5000 0.5000 [2 per cell]  6 Bi 3.77-4.21
Bi: 0.0000 0.3297 0.0000 [4 per cell]  1 Bi 2.90
Bi: 0.0000 0.5000 0.3130 [4 per cell]  6 K 3.61-3.65, 1 Rb 3.77

Output
Energy in eV per atom: -2.337
Calculated formation energy in eV per atom: -0.2630



DFT (GGA-PBE) results for an optimized crystal structure of YPb.

abc: 5.9376 4.7990 4.2614
angles: 90.00 103.47 90.00
Closest atoms and distances in Å follow each position.
Space group C2/m (No. 12)
Inequivalent atoms, fractional coordinates:
Y: 0.0000 0.0000 0.0000 [2 per cell]  6 Pb 3.21-3.23
Pb: 0.0000 0.5000 0.5000 [2 per cell]  6 Y 3.21-3.23

Output
Energy in eV per atom: -5.564
Calculated formation energy in eV per atom: -0.4782